# 1
## SrLiAs3 (GGA-PBE)

Data for a relaxed SrLiAs3 crystal.

Summary:
Crystal system = cubic
Total moment = 0.000 Bohr magnetons per cell
ΔE to the lowest computed polymorph = 904 meV per atom
Space-group type = No. 221
D(E_F) = 0.560 states/eV per atom

abc: 5.676 5.676 5.676
angles: 90.00 90.00 90.00
Sites, in units of the cell vectors:
Sr  0.000  0.000  0.000
Li  0.500  0.500  0.500
As  0.000  0.000  0.500
As  0.000  0.500  0.000
As  0.500  0.000  0.000


# 2
## Tb2YHo4 (GGA-PBE)

Data for a relaxed Tb2YHo4 crystal.

Summary:
Crystal system = monoclinic
Total moment = 0.000 Bohr magnetons per cell
ΔE to the lowest computed polymorph = 0 meV per atom
Space-group type = No. 12
D(E_F) = 1.627 states/eV per atom

abc: 16.691 3.525 8.691
angles: 90.00 119.80 90.00
Sites, in units of the cell vectors:
Tb  0.070  0.000  0.430
Tb  0.430  0.500  0.570
Tb  0.570  0.500  0.430
Tb  0.930  0.000  0.570
Y  0.000  0.000  0.000
Y  0.500  0.500  0.000
Ho  0.143  0.500  0.837
Ho  0.205  0.500  0.295
Ho  0.295  0.000  0.705
Ho  0.357  0.000  0.163
Ho  0.643  0.000  0.837
Ho  0.705  0.000  0.295
Ho  0.795  0.500  0.705
Ho  0.857  0.500  0.163


# 3
## Nd6ErAl2 (GGA-PBE)

Data for a relaxed Nd6ErAl2 crystal.

Summary:
Crystal system = monoclinic
Total moment = 0.000 Bohr magnetons per cell
Space-group type = No. 12
D(E_F) = 1.012 states/eV per atom
Energy = -4.66 eV per atom

abc: 6.732 6.732 12.026
angles: 108.47 108.47 32.63
Sites, in units of the cell vectors:
Nd  0.027  0.027  0.325
Nd  0.310  0.310  0.407
Nd  0.316  0.316  0.123
Nd  0.684  0.684  0.877
Nd  0.690  0.690  0.593
Nd  0.973  0.973  0.675
Er  0.000  0.000  0.000
Al  0.353  0.353  0.808
Al  0.647  0.647  0.192


# 4
## SrTbCu2P2 (GGA-PBE)

Data for a relaxed SrTbCu2P2 crystal.

Summary:
Crystal system = trigonal
Total moment = 0.001 Bohr magnetons per cell
Space-group type = No. 164
D(E_F) = 0.603 states/eV per atom
Energy = -5.12 eV per atom

abc: 4.015 4.015 8.322
angles: 90.00 90.00 120.00
Sites, in units of the cell vectors:
Sr  0.000  0.000  0.000
Tb  0.000  0.000  0.500
Cu  0.333  0.667  0.727
Cu  0.667  0.333  0.273
P  0.333  0.667  0.269
P  0.667  0.333  0.731


# 5
## SiTe2 (GGA-PBE)

Data for a relaxed SiTe2 crystal.

Summary:
Crystal system = hexagonal
Total moment = 0.000 Bohr magnetons per cell
Formation energy (no corrections) = 14 kJ/mol of formula units
Space-group type = No. 194
D(E_F) = 0.469 states/eV per atom

abc: 3.793 3.793 15.962
angles: 90.00 90.00 120.00
Sites, in units of the cell vectors:
Si  0.000  0.000  0.000
Si  0.000  0.000  0.500
Te  0.333  0.667  0.102
Te  0.333  0.667  0.398
Te  0.667  0.333  0.602
Te  0.667  0.333  0.898


# 6
## CrAg3Br (GGA-PBE)

Data for a relaxed CrAg3Br crystal.

Summary:
Crystal system = cubic
Total moment = 5.075 Bohr magnetons per cell
Formation energy (no corrections) = 441 kJ/mol of formula units
ΔE to the lowest computed polymorph = 0 meV per atom
Space-group type = No. 221
D(E_F) = 0.732 states/eV per atom

abc: 5.135 5.135 5.135
angles: 90.00 90.00 90.00
Sites, in units of the cell vectors:
Cr  0.000  0.000  0.000
Ag  0.000  0.000  0.500
Ag  0.000  0.500  0.000
Ag  0.500  0.000  0.000
Br  0.500  0.500  0.500


# 7
## Rb3Pa3BeSe8 (GGA-PBE)

Data for a relaxed Rb3Pa3BeSe8 crystal.

Summary:
Crystal system = trigonal
Total moment = 3.985 Bohr magnetons per cell
Formation energy (no corrections) = -1669 kJ/mol of formula units
Space-group type = No. 166
D(E_F) = 1.184 states/eV per atom

abc: 9.533 9.533 9.533
angles: 50.87 50.87 50.87
Sites, in units of the cell vectors:
Rb  0.000  0.500  0.500
Rb  0.500  0.000  0.500
Rb  0.500  0.500  0.000
Pa  0.000  0.000  0.500
Pa  0.000  0.500  0.000
Pa  0.500  0.000  0.000
Be  0.500  0.500  0.500
Se  0.235  0.235  0.235
Se  0.253  0.713  0.713
Se  0.287  0.287  0.747
Se  0.287  0.747  0.287
Se  0.713  0.253  0.713
Se  0.713  0.713  0.253
Se  0.747  0.287  0.287
Se  0.765  0.765  0.765


# 8
## Ho6Al2Pt (GGA-PBE)

Data for a relaxed Ho6Al2Pt crystal.

Summary:
Crystal system = tetragonal
Total moment = 0.000 Bohr magnetons per cell
Space-group type = No. 136
D(E_F) = 0.798 states/eV per atom
Energy = -5.00 eV per atom

abc: 9.717 9.717 4.935
angles: 90.00 90.00 90.00
Sites, in units of the cell vectors:
Ho  0.029  0.305  0.000
Ho  0.118  0.882  0.500
Ho  0.195  0.529  0.500
Ho  0.305  0.029  0.000
Ho  0.382  0.382  0.000
Ho  0.471  0.805  0.500
Ho  0.529  0.195  0.500
Ho  0.618  0.618  0.000
Ho  0.695  0.971  0.000
Ho  0.805  0.471  0.500
Ho  0.882  0.118  0.500
Ho  0.971  0.695  0.000
Al  0.209  0.209  0.500
Al  0.291  0.709  0.000
Al  0.709  0.291  0.000
Al  0.791  0.791  0.500
Pt  0.000  0.000  0.000
Pt  0.500  0.500  0.500


# 9
## KMgHg14 (GGA-PBE)

Data for a relaxed KMgHg14 crystal.

Summary:
Crystal system = monoclinic
Total moment = 0.000 Bohr magnetons per cell
Space-group type = No. 15
D(E_F) = 0.291 states/eV per atom
Energy = -0.51 eV per atom

abc: 13.448 13.448 6.613
angles: 104.12 104.12 118.82
Sites, in units of the cell vectors:
K  0.186  0.814  0.750
K  0.814  0.186  0.250
Mg  0.500  0.500  0.000
Mg  0.500  0.500  0.500
Hg  0.054  0.683  0.116
Hg  0.063  0.196  0.632
Hg  0.064  0.195  0.133
Hg  0.167  0.560  0.855
Hg  0.167  0.561  0.371
Hg  0.195  0.064  0.633
Hg  0.196  0.063  0.132
Hg  0.278  0.432  0.605
Hg  0.280  0.436  0.109
Hg  0.317  0.946  0.384
Hg  0.432  0.278  0.105
Hg  0.436  0.280  0.609
Hg  0.439  0.833  0.129
Hg  0.440  0.833  0.645
Hg  0.560  0.167  0.355
Hg  0.561  0.167  0.871
Hg  0.564  0.720  0.391
Hg  0.568  0.722  0.895
Hg  0.683  0.054  0.616
Hg  0.720  0.564  0.891
Hg  0.722  0.568  0.395
Hg  0.804  0.937  0.868
Hg  0.805  0.936  0.367
Hg  0.833  0.439  0.629
Hg  0.833  0.440  0.145
Hg  0.936  0.805  0.867
Hg  0.937  0.804  0.368
Hg  0.946  0.317  0.884


# 10
## NaGdLuAl (GGA-PBE)

Data for a relaxed NaGdLuAl crystal.

Summary:
Crystal system = cubic
Total moment = 30.292 Bohr magnetons per cell
Space-group type = No. 216
D(E_F) = 0.639 states/eV per atom
Energy = -5.95 eV per atom

abc: 7.425 7.425 7.425
angles: 90.00 90.00 90.00
Sites, in units of the cell vectors:
Na  0.000  0.000  0.000
Na  0.000  0.500  0.500
Na  0.500  0.000  0.500
Na  0.500  0.500  0.000
Gd  0.250  0.250  0.250
Gd  0.250  0.750  0.750
Gd  0.750  0.250  0.750
Gd  0.750  0.750  0.250
Lu  0.250  0.250  0.750
Lu  0.250  0.750  0.250
Lu  0.750  0.250  0.250
Lu  0.750  0.750  0.750
Al  0.000  0.000  0.500
Al  0.000  0.500  0.000
Al  0.500  0.000  0.000
Al  0.500  0.500  0.500


# 11
## La3PrDy (GGA-PBE)

Data for a relaxed La3PrDy crystal.

Summary:
Crystal system = triclinic
Total moment = 0.000 Bohr magnetons per cell
ΔE to the lowest computed polymorph = 0 meV per atom
Space-group type = No. 2
D(E_F) = 1.602 states/eV per atom

abc: 6.817 6.817 9.259
angles: 104.41 101.23 113.33
Sites, in units of the cell vectors:
La  0.099  0.021  0.199
La  0.215  0.835  0.551
La  0.323  0.400  0.802
La  0.677  0.600  0.198
La  0.785  0.165  0.449
La  0.901  0.979  0.801
Pr  0.500  0.000  0.000
Pr  0.500  0.500  0.500
Dy  0.149  0.510  0.161
Dy  0.851  0.490  0.839


# 12
## LaDyPt (GGA-PBE)

Data for a relaxed LaDyPt crystal.

Summary:
Crystal system = cubic
Total moment = 0.000 Bohr magnetons per cell
ΔE to the lowest computed polymorph = 100 meV per atom
Space-group type = No. 216
D(E_F) = 0.910 states/eV per atom

abc: 7.065 7.065 7.065
angles: 90.00 90.00 90.00
Sites, in units of the cell vectors:
La  0.000  0.000  0.000
La  0.000  0.500  0.500
La  0.500  0.000  0.500
La  0.500  0.500  0.000
Dy  0.000  0.000  0.500
Dy  0.000  0.500  0.000
Dy  0.500  0.000  0.000
Dy  0.500  0.500  0.500
Pt  0.250  0.250  0.250
Pt  0.250  0.750  0.750
Pt  0.750  0.250  0.750
Pt  0.750  0.750  0.250


# 13
## Na2AuI (GGA-PBE)

Data for a relaxed Na2AuI crystal.

Summary:
Crystal system = trigonal
Total moment = 0.000 Bohr magnetons per cell
Formation energy (no corrections) = -263 kJ/mol of formula units
ΔE to the lowest computed polymorph = 0 meV per atom
Space-group type = No. 166
D(E_F) = 0.000 states/eV per atom

abc: 4.453 4.453 21.834
angles: 90.00 90.00 120.00
Sites, in units of the cell vectors:
Na  0.000  0.000  0.246
Na  0.000  0.000  0.754
Na  0.333  0.667  0.421
Na  0.333  0.667  0.913
Na  0.667  0.333  0.087
Na  0.667  0.333  0.579
Au  0.000  0.000  0.500
Au  0.333  0.667  0.167
Au  0.667  0.333  0.833
I  0.000  0.000  0.000
I  0.333  0.667  0.667
I  0.667  0.333  0.333


# 14
## Pr3Al (GGA-PBE)

Data for a relaxed Pr3Al crystal.

Summary:
Crystal system = hexagonal
Total moment = 0.000 Bohr magnetons per cell
ΔE to the lowest computed polymorph = 0 meV per atom
Space-group type = No. 194
D(E_F) = 0.981 states/eV per atom

abc: 7.181 7.181 5.435
angles: 90.00 90.00 120.00
Sites, in units of the cell vectors:
Pr  0.179  0.357  0.250
Pr  0.179  0.821  0.250
Pr  0.357  0.179  0.750
Pr  0.643  0.821  0.250
Pr  0.821  0.179  0.750
Pr  0.821  0.643  0.750
Al  0.333  0.667  0.750
Al  0.667  0.333  0.250


# 15
## Ce8Bi3Sb4 (GGA-PBE)

Data for a relaxed Ce8Bi3Sb4 crystal.

Summary:
Crystal system = monoclinic
Total moment = 9.541 Bohr magnetons per cell
Formation energy (no corrections) = -1120 kJ/mol of formula units
Space-group type = No. 12
D(E_F) = 3.707 states/eV per atom

abc: 9.051 9.051 9.039
angles: 119.93 119.93 90.05
Sites, in units of the cell vectors:
Ce  0.245  0.245  0.494
Ce  0.245  0.245  0.995
Ce  0.247  0.753  0.000
Ce  0.248  0.752  0.500
Ce  0.752  0.248  0.500
Ce  0.753  0.247  0.000
Ce  0.755  0.755  0.005
Ce  0.755  0.755  0.506
Bi  0.000  0.500  0.500
Bi  0.500  0.000  0.500
Bi  0.500  0.500  0.500
Sb  0.000  0.000  0.000
Sb  0.000  0.000  0.500
Sb  0.000  0.500  0.000
Sb  0.500  0.000  0.000


# 16
## MnTl2Br (GGA-PBE)

Data for a relaxed MnTl2Br crystal.

Summary:
Crystal system = orthorhombic
Total moment = 8.274 Bohr magnetons per cell
Formation energy (no corrections) = 50 kJ/mol of formula units
ΔE to the lowest computed polymorph = 146 meV per atom
Space-group type = No. 71
D(E_F) = 0.628 states/eV per atom

abc: 3.311 4.575 14.781
angles: 90.00 90.00 90.00
Sites, in units of the cell vectors:
Mn  0.000  0.000  0.000
Mn  0.500  0.500  0.500
Tl  0.000  0.500  0.320
Tl  0.000  0.500  0.680
Tl  0.500  0.000  0.180
Tl  0.500  0.000  0.820
Br  0.000  0.000  0.500
Br  0.500  0.500  0.000


# 17
## Hf2ZrAg2 (GGA-PBE)

Data for a relaxed Hf2ZrAg2 crystal.

Summary:
Crystal system = orthorhombic
Total moment = 0.000 Bohr magnetons per cell
ΔE to the lowest computed polymorph = 0 meV per atom
Space-group type = No. 65
D(E_F) = 1.001 states/eV per atom

abc: 4.537 14.707 3.130
angles: 90.00 90.00 90.00
Sites, in units of the cell vectors:
Hf  0.000  0.108  0.000
Hf  0.000  0.892  0.000
Hf  0.500  0.392  0.000
Hf  0.500  0.608  0.000
Zr  0.000  0.500  0.500
Zr  0.500  0.000  0.500
Ag  0.000  0.303  0.500
Ag  0.000  0.697  0.500
Ag  0.500  0.197  0.500
Ag  0.500  0.803  0.500


# 18
## MgScMo (GGA-PBE)

Data for a relaxed MgScMo crystal.

Summary:
Crystal system = orthorhombic
Total moment = 0.000 Bohr magnetons per cell
ΔE to the lowest computed polymorph = 247 meV per atom
Space-group type = No. 42
D(E_F) = 1.075 states/eV per atom

abc: 3.586 4.535 14.315
angles: 90.00 90.00 90.00
Sites, in units of the cell vectors:
Mg  0.000  0.000  0.000
Mg  0.000  0.500  0.500
Mg  0.500  0.000  0.500
Mg  0.500  0.500  0.000
Sc  0.000  0.000  0.311
Sc  0.000  0.500  0.811
Sc  0.500  0.000  0.811
Sc  0.500  0.500  0.311
Mo  0.000  0.000  0.659
Mo  0.000  0.500  0.159
Mo  0.500  0.000  0.159
Mo  0.500  0.500  0.659


# 19
## Y3InN (GGA-PBE)

Data for a relaxed Y3InN crystal.

Summary:
Crystal system = hexagonal
Total moment = 0.000 Bohr magnetons per cell
Formation energy (no corrections) = -309 kJ/mol of formula units
Space-group type = No. 194
D(E_F) = 0.664 states/eV per atom

abc: 3.992 3.992 18.608
angles: 90.00 90.00 120.00
Sites, in units of the cell vectors:
Y  0.000  0.000  0.250
Y  0.000  0.000  0.750
Y  0.333  0.667  0.119
Y  0.333  0.667  0.381
Y  0.667  0.333  0.619
Y  0.667  0.333  0.881
In  0.000  0.000  0.000
In  0.000  0.000  0.500
N  0.333  0.667  0.250
N  0.667  0.333  0.750


# 20
## Ti13Fe2 (GGA-PBE)

Data for a relaxed Ti13Fe2 crystal.

Summary:
Crystal system = triclinic
Total moment = 0.000 Bohr magnetons per cell
Space-group type = No. 2
D(E_F) = 1.296 states/eV per atom
Energy = -8.00 eV per atom

abc: 5.401 6.878 7.571
angles: 116.79 91.47 100.16
Sites, in units of the cell vectors:
Ti  0.000  0.000  0.000
Ti  0.041  0.443  0.668
Ti  0.202  0.019  0.639
Ti  0.243  0.401  0.001
Ti  0.258  0.860  0.224
Ti  0.432  0.795  0.849
Ti  0.469  0.651  0.423
Ti  0.531  0.349  0.577
Ti  0.568  0.205  0.151
Ti  0.742  0.140  0.776
Ti  0.757  0.599  0.999
Ti  0.798  0.981  0.361
Ti  0.959  0.557  0.332
Fe  0.187  0.248  0.333
Fe  0.813  0.752  0.667